[1]
{"formula": "HfTiPd", "functional": "PBE", "state": "relaxed", "relative_energy_ev_per_atom": 0.0134, "ef_ev_per_atom": -0.459, "dos_ef_per_ev_cell": 3.33, "space_group": "C2/m, No. 12", "lattice": [[5.419, -1.614, 0.000], [5.419, 1.614, 0.000], [-1.893, 0.000, 6.150]], "species": ["Hf", "Hf", "Ti", "Ti", "Pd", "Pd"], "fractional_positions": [[0.158, 0.158, 0.326], [0.842, 0.842, 0.674], [0.165, 0.165, 0.836], [0.835, 0.835, 0.164], [0.500, 0.500, 0.000], [0.500, 0.500, 0.500]]}

=====

[2]
{"formula": "HfTiPd6", "functional": "PBE", "state": "relaxed", "relative_energy_ev_per_atom": 0.6276, "ef_ev_per_atom": -0.117, "dos_ef_per_ev_cell": 5.43, "space_group": "R-3m, No. 166", "lattice": [[3.682, 2.126, 3.148], [-3.682, 2.126, 3.148], [0.000, -4.252, 3.148]], "species": ["Hf", "Ti", "Pd", "Pd", "Pd", "Pd", "Pd", "Pd"], "fractional_positions": [[0.000, 0.000, 0.000], [0.500, 0.500, 0.500], [0.171, 0.171, 0.544], [0.171, 0.544, 0.171], [0.456, 0.829, 0.829], [0.544, 0.171, 0.171], [0.829, 0.456, 0.829], [0.829, 0.829, 0.456]]}

=====

[3]
{"formula": "HfTiPd", "functional": "PBE", "state": "relaxed", "relative_energy_ev_per_atom": 0.1081, "ef_ev_per_atom": -0.364, "dos_ef_per_ev_cell": 7.41, "space_group": "P1, No. 1", "lattice": [[4.947, 0.000, 0.000], [-2.362, 4.632, 0.000], [-1.179, -2.360, 4.828]], "species": ["Hf", "Hf", "Ti", "Ti", "Pd", "Pd"], "fractional_positions": [[0.000, 0.000, 0.000], [0.201, 0.512, 0.705], [0.497, 0.801, 0.290], [0.687, 0.346, 0.997], [0.105, 0.912, 0.500], [0.598, 0.404, 0.483]]}

=====

[4]
{"formula": "Hf3TiPd6", "functional": "PBE", "state": "relaxed", "ef_ev_per_atom": -0.571, "dos_ef_per_ev_cell": 13.11, "space_group": "Cmcm, No. 63", "lattice": [[5.752, -6.846, 0.000], [5.752, 6.846, 0.000], [0.000, 0.000, 4.539]], "species": ["Hf", "Hf", "Hf", "Hf", "Hf", "Hf", "Ti", "Ti", "Pd", "Pd", "Pd", "Pd", "Pd", "Pd", "Pd", "Pd", "Pd", "Pd", "Pd", "Pd"], "fractional_positions": [[0.109, 0.891, 0.750], [0.187, 0.385, 0.250], [0.385, 0.187, 0.750], [0.615, 0.813, 0.250], [0.813, 0.615, 0.750], [0.891, 0.109, 0.250], [0.358, 0.642, 0.750], [0.642, 0.358, 0.250], [0.074, 0.203, 0.750], [0.089, 0.533, 0.750], [0.203, 0.074, 0.250], [0.246, 0.754, 0.250], [0.452, 0.548, 0.250], [0.467, 0.911, 0.750], [0.533, 0.089, 0.250], [0.548, 0.452, 0.750], [0.754, 0.246, 0.750], [0.797, 0.926, 0.750], [0.911, 0.467, 0.250], [0.926, 0.797, 0.250]]}

=====

[5]
{"formula": "Hf3TiPd", "functional": "PBE", "state": "relaxed", "ef_ev_per_atom": 0.877, "dos_ef_per_ev_cell": 7.13, "space_group": "Pm-3m, No. 221", "lattice": [[4.845, 0.000, 0.000], [0.000, 4.845, 0.000], [0.000, 0.000, 4.845]], "species": ["Hf", "Hf", "Hf", "Ti", "Pd"], "fractional_positions": [[0.000, 0.000, 0.500], [0.000, 0.500, 0.000], [0.500, 0.000, 0.000], [0.000, 0.000, 0.000], [0.500, 0.500, 0.500]]}

=====

[6]
{"formula": "HfTiPd", "functional": "PBE", "state": "relaxed", "relative_energy_ev_per_atom": 0.2906, "ef_ev_per_atom": -0.182, "dos_ef_per_ev_cell": 4.23, "space_group": "P3m1, No. 156", "lattice": [[4.513, 0.000, 0.000], [-2.256, 3.908, 0.000], [0.000, 0.000, 3.086]], "species": ["Hf", "Ti", "Pd"], "fractional_positions": [[0.000, 0.000, 0.000], [0.333, 0.667, 0.563], [0.667, 0.333, 0.333]]}

=====

[7]
{"formula": "HfTiPd6", "functional": "PBE", "state": "relaxed", "relative_energy_ev_per_atom": 0.0000, "ef_ev_per_atom": -0.744, "dos_ef_per_ev_cell": 2.60, "space_group": "P4/mmm, No. 123", "lattice": [[3.972, 0.000, 0.000], [0.000, 3.972, 0.000], [0.000, 0.000, 7.934]], "species": ["Hf", "Ti", "Pd", "Pd", "Pd", "Pd", "Pd", "Pd"], "fractional_positions": [[0.000, 0.000, 0.000], [0.000, 0.000, 0.500], [0.000, 0.500, 0.255], [0.000, 0.500, 0.745], [0.500, 0.000, 0.255], [0.500, 0.000, 0.745], [0.500, 0.500, 0.000], [0.500, 0.500, 0.500]]}

=====

[8]
{"formula": "HfTiPd", "functional": "PBE", "state": "relaxed", "relative_energy_ev_per_atom": 0.0000, "ef_ev_per_atom": -0.472, "dos_ef_per_ev_cell": 1.32, "space_group": "I4mm, No. 107", "lattice": [[-1.607, 1.607, 5.179], [1.607, -1.607, 5.179], [1.607, 1.607, -5.179]], "species": ["Hf", "Ti", "Pd"], "fractional_positions": [[0.000, 0.000, 0.000], [0.322, 0.322, 0.000], [0.671, 0.671, 0.000]]}

=====

[9]
{"formula": "Hf2TiPd2", "functional": "PBE", "state": "relaxed", "relative_energy_ev_per_atom": 0.1087, "ef_ev_per_atom": -0.340, "dos_ef_per_ev_cell": 6.19, "space_group": "P4/mbm, No. 127", "lattice": [[7.767, 0.000, 0.000], [0.000, 7.767, 0.000], [0.000, 0.000, 3.143]], "species": ["Hf", "Hf", "Hf", "Hf", "Ti", "Ti", "Pd", "Pd", "Pd", "Pd"], "fractional_positions": [[0.159, 0.341, 0.000], [0.341, 0.841, 0.000], [0.659, 0.159, 0.000], [0.841, 0.659, 0.000], [0.000, 0.000, 0.000], [0.500, 0.500, 0.000], [0.138, 0.638, 0.500], [0.362, 0.138, 0.500], [0.638, 0.862, 0.500], [0.862, 0.362, 0.500]]}

=====

[10]
{"formula": "HfTi2Pd8", "functional": "PBE", "state": "relaxed", "ef_ev_per_atom": -0.653, "dos_ef_per_ev_cell": 7.07, "space_group": "C2/m, No. 12", "lattice": [[7.088, -2.000, 0.000], [7.088, 2.000, 0.000], [-2.035, 0.000, 6.117]], "species": ["Hf", "Ti", "Ti", "Pd", "Pd", "Pd", "Pd", "Pd", "Pd", "Pd", "Pd"], "fractional_positions": [[0.000, 0.000, 0.000], [0.280, 0.280, 0.338], [0.720, 0.720, 0.662], [0.105, 0.105, 0.458], [0.180, 0.180, 0.915], [0.354, 0.354, 0.800], [0.458, 0.458, 0.272], [0.542, 0.542, 0.728], [0.646, 0.646, 0.200], [0.820, 0.820, 0.085], [0.895, 0.895, 0.542]]}

=====

[11]
{"formula": "HfTi3Pd6", "functional": "PBE", "state": "relaxed", "relative_energy_ev_per_atom": 0.2011, "ef_ev_per_atom": -0.411, "dos_ef_per_ev_cell": 15.50, "space_group": "Cmc2_1, No. 36", "lattice": [[4.680, -6.766, 0.000], [4.680, 6.766, 0.000], [0.000, 0.000, 5.319]], "species": ["Hf", "Hf", "Ti", "Ti", "Ti", "Ti", "Ti", "Ti", "Pd", "Pd", "Pd", "Pd", "Pd", "Pd", "Pd", "Pd", "Pd", "Pd", "Pd", "Pd"], "fractional_positions": [[0.175, 0.825, 0.500], [0.825, 0.175, 0.000], [0.155, 0.297, 0.491], [0.297, 0.155, 0.991], [0.412, 0.588, 0.558], [0.588, 0.412, 0.058], [0.703, 0.845, 0.491], [0.845, 0.703, 0.991], [0.001, 0.999, 0.242], [0.034, 0.507, 0.727], [0.211, 0.789, 0.011], [0.262, 0.445, 0.058], [0.445, 0.262, 0.558], [0.493, 0.966, 0.727], [0.507, 0.034, 0.227], [0.555, 0.738, 0.058], [0.738, 0.555, 0.558], [0.789, 0.211, 0.511], [0.966, 0.493, 0.227], [0.999, 0.001, 0.742]]}

=====

[12]
{"formula": "HfTi2Pd2", "functional": "PBE", "state": "relaxed", "relative_energy_ev_per_atom": 0.0000, "ef_ev_per_atom": -0.520, "dos_ef_per_ev_cell": 4.07, "space_group": "I4/mmm, No. 139", "lattice": [[-1.531, 1.531, 9.016], [1.531, -1.531, 9.016], [1.531, 1.531, -9.016]], "species": ["Hf", "Ti", "Ti", "Pd", "Pd"], "fractional_positions": [[0.000, 0.000, 0.000], [0.201, 0.201, 0.000], [0.799, 0.799, 0.000], [0.390, 0.390, 0.000], [0.610, 0.610, 0.000]]}

=====

[13]
{"formula": "HfTiPd", "functional": "PBE", "state": "relaxed", "relative_energy_ev_per_atom": 0.2578, "ef_ev_per_atom": -0.215, "dos_ef_per_ev_cell": 4.99, "space_group": "C2/m, No. 12", "lattice": [[2.679, -1.541, 0.000], [2.679, 1.541, 0.000], [-1.802, 0.000, 13.404]], "species": ["Hf", "Hf", "Ti", "Ti", "Pd", "Pd"], "fractional_positions": [[0.247, 0.247, 0.241], [0.753, 0.753, 0.759], [0.363, 0.363, 0.585], [0.637, 0.637, 0.415], [0.138, 0.138, 0.916], [0.862, 0.862, 0.084]]}

=====

[14]
{"formula": "Hf2TiPd8", "functional": "PBE", "state": "relaxed", "ef_ev_per_atom": -0.676, "dos_ef_per_ev_cell": 6.99, "space_group": "C2/m, No. 12", "lattice": [[7.126, -2.034, 0.000], [7.126, 2.034, 0.000], [-2.100, 0.000, 6.173]], "species": ["Hf", "Hf", "Ti", "Pd", "Pd", "Pd", "Pd", "Pd", "Pd", "Pd", "Pd"], "fractional_positions": [[0.218, 0.218, 0.163], [0.782, 0.782, 0.837], [0.500, 0.500, 0.500], [0.038, 0.038, 0.231], [0.142, 0.142, 0.687], [0.325, 0.325, 0.591], [0.401, 0.401, 0.057], [0.599, 0.599, 0.943], [0.675, 0.675, 0.409], [0.858, 0.858, 0.313], [0.962, 0.962, 0.769]]}

=====

[15]
{"formula": "HfTi2Pd4", "functional": "PBE", "state": "relaxed", "relative_energy_ev_per_atom": 0.7532, "ef_ev_per_atom": 0.345, "dos_ef_per_ev_cell": 7.09, "space_group": "I4/mmm, No. 139", "lattice": [[-2.476, 2.476, 6.267], [2.476, -2.476, 6.267], [2.476, 2.476, -6.267]], "species": ["Hf", "Ti", "Ti", "Pd", "Pd", "Pd", "Pd"], "fractional_positions": [[0.000, 0.000, 0.000], [0.403, 0.403, 0.000], [0.597, 0.597, 0.000], [0.000, 0.500, 0.500], [0.201, 0.201, 0.000], [0.500, 0.000, 0.500], [0.799, 0.799, 0.000]]}

=====

[16]
{"formula": "Hf4TiPd", "functional": "PBE", "state": "relaxed", "ef_ev_per_atom": -0.201, "dos_ef_per_ev_cell": 7.63, "space_group": "P4/mmm, No. 123", "lattice": [[3.155, 0.000, 0.000], [0.000, 3.155, 0.000], [0.000, 0.000, 12.165]], "species": ["Hf", "Hf", "Hf", "Hf", "Ti", "Pd"], "fractional_positions": [[0.000, 0.000, 0.152], [0.000, 0.000, 0.848], [0.500, 0.500, 0.329], [0.500, 0.500, 0.671], [0.000, 0.000, 0.500], [0.500, 0.500, 0.000]]}

=====

[17]
{"formula": "Hf2TiPd9", "functional": "PBE", "state": "relaxed", "ef_ev_per_atom": -0.783, "dos_ef_per_ev_cell": 3.31, "space_group": "P4/mmm, No. 123", "lattice": [[3.986, 0.000, 0.000], [0.000, 3.986, 0.000], [0.000, 0.000, 11.941]], "species": ["Hf", "Hf", "Ti", "Pd", "Pd", "Pd", "Pd", "Pd", "Pd", "Pd", "Pd", "Pd"], "fractional_positions": [[0.000, 0.000, 0.170], [0.000, 0.000, 0.830], [0.000, 0.000, 0.500], [0.000, 0.500, 0.000], [0.000, 0.500, 0.337], [0.000, 0.500, 0.663], [0.500, 0.000, 0.000], [0.500, 0.000, 0.337], [0.500, 0.000, 0.663], [0.500, 0.500, 0.168], [0.500, 0.500, 0.500], [0.500, 0.500, 0.832]]}

=====

[18]
{"formula": "Hf2Ti2Pd7", "functional": "PBE", "state": "relaxed", "ef_ev_per_atom": -0.567, "dos_ef_per_ev_cell": 6.90, "space_group": "P-1, No. 2", "lattice": [[4.581, 0.000, 0.000], [-0.368, 6.220, 0.000], [-2.083, -3.072, 6.596]], "species": ["Hf", "Hf", "Ti", "Ti", "Pd", "Pd", "Pd", "Pd", "Pd", "Pd", "Pd"], "fractional_positions": [[0.129, 0.130, 0.258], [0.871, 0.870, 0.742], [0.166, 0.665, 0.329], [0.834, 0.335, 0.671], [0.223, 0.363, 0.999], [0.306, 0.555, 0.634], [0.326, 0.077, 0.633], [0.500, 0.000, 0.000], [0.674, 0.923, 0.367], [0.694, 0.445, 0.366], [0.777, 0.637, 0.001]]}

=====

[19]
{"formula": "HfTi2Pd4", "functional": "PBE", "state": "relaxed", "relative_energy_ev_per_atom": 0.0000, "ef_ev_per_atom": -0.408, "dos_ef_per_ev_cell": 7.12, "space_group": "R-3m, No. 166", "lattice": [[2.196, 1.268, 7.334], [-2.196, 1.268, 7.334], [0.000, -2.535, 7.334]], "species": ["Hf", "Ti", "Ti", "Pd", "Pd", "Pd", "Pd"], "fractional_positions": [[0.000, 0.000, 0.000], [0.247, 0.247, 0.247], [0.753, 0.753, 0.753], [0.130, 0.130, 0.130], [0.395, 0.395, 0.395], [0.605, 0.605, 0.605], [0.870, 0.870, 0.870]]}

=====

[20]
{"formula": "HfTiPd", "functional": "PBE", "state": "relaxed", "relative_energy_ev_per_atom": 0.1193, "ef_ev_per_atom": -0.353, "dos_ef_per_ev_cell": 5.56, "space_group": "Cm, No. 8", "lattice": [[4.784, -2.029, 0.000], [4.784, 2.029, 0.000], [-2.118, 0.000, 5.531]], "species": ["Hf", "Hf", "Ti", "Ti", "Pd", "Pd"], "fractional_positions": [[0.000, 0.000, 0.000], [0.647, 0.647, 0.778], [0.336, 0.336, 0.139], [0.700, 0.700, 0.313], [0.327, 0.327, 0.634], [0.999, 0.999, 0.476]]}

=====

Number 1: size of the total moment 0.00 μB/cell. Number 2: size of the total moment 0.00 μB/cell. Number 3: size of the total moment 0.00 μB/cell. Number 4: size of the total moment 0.00 μB/cell. Number 5: size of the total moment 0.00 μB/cell. Number 6: size of the total moment 0.23 μB/cell. Number 7: size of the total moment 0.20 μB/cell. Number 8: size of the total moment 0.00 μB/cell. Number 9: size of the total moment 3.93 μB/cell. Number 10: size of the total moment 0.00 μB/cell. Number 11: size of the total moment 0.00 μB/cell. Number 12: size of the total moment 0.00 μB/cell. Number 13: size of the total moment 0.00 μB/cell. Number 14: size of the total moment 0.00 μB/cell. Number 15: size of the total moment 1.39 μB/cell. Number 16: size of the total moment 0.00 μB/cell. Number 17: size of the total moment 0.31 μB/cell. Number 18: size of the total moment 0.00 μB/cell. Number 19: size of the total moment 0.00 μB/cell. Number 20: size of the total moment 0.01 μB/cell.